Record 1
This record from Alexandria via LeMat-Bulk describes a geometry-optimized Er4Tm3Sc2 structure. The functional is PBE.

```
18
Lattice="8.295 -4.843 0.000 8.295 4.843 0.000 -0.345 0.000 6.582" Properties=species:S:1:pos:R:3 pbc="T T T"
Er 7.665 3.100 6.494
Er 5.154 1.196 0.578
Er 8.409 3.100 3.379
Er 4.982 -1.196 3.869
Er 11.264 1.196 2.713
Er 7.837 -3.100 3.203
Er 11.092 -1.196 6.004
Er 8.581 -3.100 0.088
Tm 2.300 0.425 4.872
Tm 2.472 -0.425 1.581
Tm 8.209 0.076 1.646
Tm 8.037 -0.076 4.937
Tm 13.774 0.425 5.001
Tm 13.946 -0.425 1.710
Sc 5.359 2.068 3.977
Sc 10.714 2.068 5.896
Sc 5.532 -2.068 0.686
Sc 10.887 -2.068 2.605
```

**Calculated total energy**: -4.839 eV/atom
**Fermi-level density of states**: 11.86 states/eV/f.u.
**Symmetry**: C2/c (15)
**Energy relative to the elements**: 0.087 eV/atom

Record 2
This record from Alexandria via LeMat-Bulk describes a geometry-optimized Bi3PtO structure. The functional is PBE.

```
5
Lattice="4.852 0.000 0.000 0.000 4.852 0.000 0.000 0.000 4.852" Properties=species:S:1:pos:R:3 pbc="T T T"
Bi 0.000 0.000 2.426
Bi 0.000 2.426 0.000
Bi 2.426 0.000 0.000
Pt 2.426 2.426 2.426
O 0.000 0.000 0.000
```

**Calculated total energy**: -4.571 eV/atom
**Fermi-level density of states**: 2.43 states/eV/f.u.
**Energy relative to the elements, uncorrected**: -0.04 eV per atom
**Symmetry**: Pm-3m (221)

Record 3
This record from Alexandria via LeMat-Bulk describes a geometry-optimized SnMoBr3 structure. The functional is PBE.

```
5
Lattice="5.727 0.000 0.000 0.000 5.727 0.000 0.000 0.000 5.727" Properties=species:S:1:pos:R:3 pbc="T T T"
Sn 0.000 0.000 0.000
Mo 2.864 2.864 2.864
Br 0.000 0.000 2.864
Br 0.000 2.864 0.000
Br 2.864 0.000 0.000
```

**Calculated total energy**: -3.530 eV/atom
**Fermi-level density of states**: 0.48 states/eV/f.u.
**Energy relative to the elements, uncorrected**: 0.44 eV per atom
**Symmetry**: Pm-3m (221)

Record 4
This record from Alexandria via LeMat-Bulk describes a geometry-optimized Co3NiPb structure. The functional is PBE.

```
5
Lattice="4.365 0.000 0.000 0.000 4.365 0.000 0.000 0.000 4.365" Properties=species:S:1:pos:R:3 pbc="T T T"
Co 0.000 0.000 2.182
Co 0.000 2.182 0.000
Co 2.182 0.000 0.000
Ni 0.000 0.000 0.000
Pb 2.182 2.182 2.182
```

**Calculated total energy**: -5.262 eV/atom
**Fermi-level density of states**: 7.60 states/eV/f.u.
**Symmetry**: Pm-3m (221)
**Energy relative to the elements**: 0.899 eV/atom

Record 5
This record from Alexandria via LeMat-Bulk describes a geometry-optimized Ac8PrHo4 structure. The functional is PBE.

```
13
Lattice="5.894 3.403 4.803 -5.894 3.403 4.803 0.000 -6.805 4.803" Properties=species:S:1:pos:R:3 pbc="T T T"
Ac 0.000 0.000 3.467
Ac 0.000 -3.527 5.955
Ac -3.054 1.763 5.955
Ac -3.054 -1.763 8.454
Ac 3.054 1.764 5.955
Ac 3.054 -1.764 8.454
Ac 0.000 3.527 8.454
Ac 0.000 0.000 10.942
Pr 0.000 0.000 7.205
Ho 0.000 0.000 0.000
Ho -2.947 -1.701 4.803
Ho -2.947 1.701 9.606
Ho 0.000 3.403 4.803
```

**Calculated total energy**: -3.914 eV/atom
**Fermi-level density of states**: 18.80 states/eV/f.u.
**Symmetry**: R-3m (166)
**Energy relative to the elements**: 0.391 eV/atom

Record 6
This record from Alexandria via LeMat-Bulk describes a geometry-optimized CaMgPb2 structure. The functional is PBE.

```
4
Lattice="2.325 1.342 6.854 -2.325 1.342 6.854 0.000 -2.685 6.854" Properties=species:S:1:pos:R:3 pbc="T T T"
Ca 0.000 0.000 0.000
Mg 0.000 0.000 16.875
Pb 0.000 0.000 8.659
Pb 0.000 0.000 11.658
```

**Calculated total energy**: -2.932 eV/atom
**Fermi-level density of states**: 1.39 states/eV/f.u.
**Symmetry**: R3m (160)
**Energy relative to the elements**: -0.179 eV/atom

| no. | ρ (g/cm³) | magnetic moment (μB per formula unit) |
| --- | --- | --- |
| 1 | 7.95 | 0.00 |
| 2 | 12.18 | 0.00 |
| 3 | 4.02 | 5.05 |
| 4 | 8.84 | 6.04 |
| 5 | 7.52 | 0.00 |
| 6 | 6.19 | 0.00 |